Ca3Ag5Cl12 after structural relaxation, computed with PBE.

Properties
Total magnetization (μB/f.u.): 0.0
Calculated volume (Å³/cell): 2071.0
Space-group type: Ia-3d, No. 230
DFT total energy (eV per atom): -3.3618
Uncorrected formation energy (eV per atom): -1.24

Geometry as POSCAR:
```
Ca3Ag5Cl12
1.0
-8.030 8.030 8.030
8.030 -8.030 8.030
8.030 8.030 -8.030
Ca Ag Cl
12 20 48
Direct
0.125 0.250 0.375
0.125 0.375 0.750
0.250 0.375 0.125
0.250 0.875 0.625
0.375 0.125 0.250
0.375 0.750 0.125
0.625 0.250 0.875
0.625 0.875 0.750
0.750 0.125 0.375
0.750 0.625 0.875
0.875 0.625 0.250
0.875 0.750 0.625
0.000 0.000 0.000
0.000 0.000 0.500
0.000 0.500 0.000
0.000 0.500 0.500
0.125 0.750 0.875
0.125 0.875 0.250
0.250 0.125 0.875
0.250 0.625 0.375
0.375 0.250 0.625
0.375 0.625 0.750
0.500 0.000 0.000
0.500 0.000 0.500
0.500 0.500 0.000
0.500 0.500 0.500
0.625 0.375 0.250
0.625 0.750 0.375
0.750 0.375 0.625
0.750 0.875 0.125
0.875 0.125 0.750
0.875 0.250 0.125
0.048 0.221 0.132
0.048 0.327 0.915
0.085 0.632 0.412
0.085 0.952 0.673
0.088 0.721 0.673
0.088 0.868 0.415
0.132 0.048 0.221
0.132 0.585 0.912
0.173 0.221 0.588
0.173 0.452 0.585
0.221 0.132 0.048
0.221 0.588 0.173
0.279 0.327 0.912
0.279 0.452 0.368
0.327 0.912 0.279
0.327 0.915 0.048
0.368 0.279 0.452
0.368 0.588 0.915
0.412 0.085 0.632
0.412 0.827 0.779
0.415 0.088 0.868
0.415 0.827 0.548
0.452 0.368 0.279
0.452 0.585 0.173
0.548 0.415 0.827
0.548 0.632 0.721
0.585 0.173 0.452
0.585 0.912 0.132
0.588 0.173 0.221
0.588 0.915 0.368
0.632 0.412 0.085
0.632 0.721 0.548
0.673 0.085 0.952
0.673 0.088 0.721
0.721 0.548 0.632
0.721 0.673 0.088
0.779 0.412 0.827
0.779 0.868 0.952
0.827 0.548 0.415
0.827 0.779 0.412
0.868 0.415 0.088
0.868 0.952 0.779
0.912 0.132 0.585
0.912 0.279 0.327
0.915 0.048 0.327
0.915 0.368 0.588
0.952 0.673 0.085
0.952 0.779 0.868
```